4
Lattice="-0.9078 -5.4122 0.4328 2.0742 -3.4479 -3.7568 4.1267 -3.3837 1.3507" Properties=species:S:1:pos:R:3 comment="K2CoNi, relaxed, DFT PBE-GGA" e_form_mev_per_atom=1298 space_group="Fm-3m, No. 225" pbc="T T T"
Co 0.0000 0.0000 0.0000
K 1.3233 -3.0610 -0.4933
K 3.9698 -9.1829 -1.4800
Ni 2.6466 -6.1219 -0.9866

28
Lattice="-4.8883 -5.7667 2.9526 6.3274 -1.9540 6.6591 -6.7525 8.8873 6.1786" Properties=species:S:1:pos:R:3 comment="Tl3ZnTe3, relaxed, DFT PBE-GGA" final_energy_ev_per_atom=-2.822 space_group="P2_1/c, No. 14" pbc="T T T"
Tl -4.1758 1.3970 13.8812
Tl -0.2146 -2.3567 10.4386
Tl -1.4233 3.7176 9.9704
Tl -3.9171 -0.3243 9.6954
Tl 1.7289 -0.9904 7.0164
Tl -0.5048 -4.7253 6.5842
Tl -4.8086 5.8918 9.2060
Tl -7.0422 2.1569 8.7739
Tl -1.3962 1.4908 6.0949
Tl -3.8901 -2.5510 5.8199
Tl -5.0987 3.5232 5.3517
Tl -1.1376 -0.2304 1.9091
Zn -3.3209 4.5405 12.5837
Zn 1.6490 1.9769 8.5319
Zn -6.9623 -0.8104 7.2584
Zn -1.9924 -3.3740 3.2065
Te -2.8178 -1.4866 12.7994
Te 2.1521 -4.0501 8.7475
Te -2.5081 6.7904 11.4264
Te -0.5608 0.6610 9.2003
Te -4.6267 2.9307 10.9025
Te -2.9565 -3.5256 8.8438
Te -2.3568 4.6922 6.9465
Te -0.6867 -1.7642 4.8878
Te -4.7525 0.5056 6.5900
Te -2.8052 -5.6238 4.3639
Te -7.4654 5.2167 7.0428
Te -2.4955 2.6531 2.9909

4
Lattice="-2.7608 2.7166 2.7316 -4.0653 2.4329 -0.1320 -3.0854 -3.2951 1.7320" Properties=species:S:1:pos:R:3 comment="Tc2NiPb, relaxed, DFT PBE-GGA" e_form_mev_per_atom=448 space_group="C2/m, No. 12" pbc="T T T"
Ni -2.4779 0.4636 1.0829
Pb -7.4337 1.3908 3.2487
Tc -6.9308 4.8617 2.6758
Tc -4.8511 1.2149 2.0896

8
Lattice="5.9079 0.0000 0.0000 0.0000 5.9079 0.0000 2.9540 2.9540 6.0090" Properties=species:S:1:pos:R:3 comment="BiP2Au, relaxed, DFT PBE-GGA" e_form_mev_per_atom=217 space_group="I-42d, No. 122" pbc="T T T"
P 4.1857 1.4770 1.5023
P 1.7222 4.4309 1.5023
P 4.4309 4.6761 4.5068
P 7.3849 7.1397 4.5068
Au 2.9540 2.9540 0.0000
Au 2.9540 5.9079 3.0045
Bi 0.0000 0.0000 0.0000
Bi 5.9079 2.9540 3.0045

4
Lattice="-5.2500 -0.6949 3.1822 -5.5245 -1.1133 -2.5322 5.8892 -1.6672 0.8423" Properties=species:S:1:pos:R:3 comment="Si2SbCl, relaxed, DFT PBE-GGA" final_energy_ev_per_atom=-3.885 space_group="Imm2, No. 44" pbc="T T T"
Cl -5.3785 -0.9026 0.3245
Sb -2.0853 -1.7708 -0.7081
Si -10.6009 -1.7791 0.6396
Si -2.9823 -1.7352 2.2115

5
Lattice="-2.4883 4.3499 -1.9595 -0.6910 -2.5153 -4.7062 -4.7206 -1.9247 1.7218" Properties=species:S:1:pos:R:3 comment="CoAgI3, relaxed, DFT PBE-GGA" final_energy_ev_per_atom=-2.574 space_group="Pm-3m, No. 221" pbc="T T T"
I -0.3455 -1.2577 -2.3531
I -2.3603 -0.9623 0.8609
I -1.2441 2.1749 -0.9798
Co 0.0000 0.0000 0.0000
Ag -3.9499 -0.0451 -2.4720